(1)
{"formula": "ScTcP", "functional": "PBE-GGA", "state": "optimized geometry", "formation_energy_mev_per_atom": -579, "de_polymorph_mev_per_atom": 537, "total_magnetization_mub_per_cell": 0.0, "dos_at_fermi_per_ev_atom": 0.4692, "lattice_angstrom": [[3.4011, 0.0000, 0.0000], [-1.7006, 2.9455, 0.0000], [0.0000, 0.0000, 5.1869]], "species": ["Sc", "Tc", "P"], "fractional_positions": [[0.0000, 0.0000, 0.0000], [0.6667, 0.3333, 0.4427], [0.3333, 0.6667, 0.6751]]}

(2)
{"formula": "Sc3TcP", "functional": "PBE-GGA", "state": "optimized geometry", "formation_energy_mev_per_atom": 16, "de_polymorph_mev_per_atom": 0, "total_magnetization_mub_per_cell": 0.0, "dos_at_fermi_per_ev_atom": 1.7700, "lattice_angstrom": [[4.7972, 0.0000, 0.0000], [0.0000, 4.7972, 0.0000], [0.0000, 0.0000, 4.7972]], "species": ["Sc", "Sc", "Sc", "Tc", "P"], "fractional_positions": [[0.0000, 0.0000, 0.5000], [0.0000, 0.5000, 0.0000], [0.5000, 0.0000, 0.0000], [0.5000, 0.5000, 0.5000], [0.0000, 0.0000, 0.0000]]}